[1]
Entry from the Alexandria database: a geometry-optimized V3MoRh2 structure (PBE).

Structure (extended XYZ):
```
12
Lattice="5.390 0.430 -4.328 -6.123 2.828 1.574 2.697 3.762 3.733" Properties=species:S:1:pos:R:3 pbc="T T T"
Rh 2.680 3.156 -0.381
Rh 1.349 1.881 1.867
Rh -0.716 3.864 1.361
Rh 0.000 0.000 0.000
V 4.060 1.808 -2.343
V 5.383 3.654 -0.512
V 0.271 2.518 -0.494
V -2.096 5.211 3.323
V -3.419 3.366 1.492
V 1.693 4.502 1.474
Mo 1.527 1.235 -2.347
Mo -2.260 2.023 -0.406
```

VASP energy ... -9.0457 eV per atom
Crystal system ... orthorhombic
Density of states at the Fermi level ... 14.0 states/eV/cell


[2]
Entry from the Alexandria database: a geometry-optimized VMoRh structure (PBE).

Structure (extended XYZ):
```
6
Lattice="-4.250 0.917 -0.079 -0.572 -2.989 -3.897 -0.876 -3.796 3.045" Properties=species:S:1:pos:R:3 pbc="T T T"
Rh -2.753 -2.680 -2.652
Rh -2.944 -3.189 1.720
V -2.849 -2.934 -0.466
V 0.000 0.000 0.000
Mo -0.460 -2.159 -0.271
Mo -0.987 -4.627 -0.581
```

VASP energy ... -8.1181 eV per atom
Distance to the lowest polymorph of the same formula ... 1208 meV/atom
Crystal system ... orthorhombic
Density of states at the Fermi level ... 5.5 states/eV/cell


[3]
Entry from the Alexandria database: a geometry-optimized V2MoRh structure (PBE).

Structure (extended XYZ):
```
4
Lattice="-0.999 -2.886 0.112 2.462 -0.789 1.630 -3.009 1.241 5.145" Properties=species:S:1:pos:R:3 pbc="T T T"
V -2.287 0.943 3.911
V -0.722 0.298 1.234
Rh -0.773 -1.217 3.444
Mo 0.731 -1.838 0.871
```

VASP energy ... -9.3431 eV per atom
Crystal system ... tetragonal
Density of states at the Fermi level ... 4.4 states/eV/cell


[4]
Entry from the Alexandria database: a geometry-optimized V2MoRh structure (PBE).

Structure (extended XYZ):
```
4
Lattice="9.549 0.000 0.000 4.775 2.713 0.302 4.775 1.146 2.478" Properties=species:S:1:pos:R:3 pbc="T T T"
V 7.094 0.000 0.000
V 2.455 0.000 0.000
Mo 0.000 0.000 0.000
Rh 4.775 0.000 0.000
```

VASP energy ... -8.6831 eV per atom
Crystal system ... orthorhombic
Density of states at the Fermi level ... 5.2 states/eV/cell


[5]
Entry from the Alexandria database: a geometry-optimized V4MoRh structure (PBE).

Structure (extended XYZ):
```
6
Lattice="-1.918 3.309 1.196 -2.464 -0.287 3.558 3.372 2.331 5.673" Properties=species:S:1:pos:R:3 pbc="T T T"
V 1.329 3.154 6.832
V -2.338 2.199 3.595
V -2.574 3.472 6.408
V 1.564 1.881 4.019
Mo 0.000 0.000 0.000
Rh -0.505 2.677 5.214
```

VASP energy ... -8.5884 eV per atom
Crystal system ... monoclinic
Density of states at the Fermi level ... 7.8 states/eV/cell


[6]
Entry from the Alexandria database: a geometry-optimized VMoRh structure (PBE).

Structure (extended XYZ):
```
3
Lattice="2.630 0.000 0.000 0.000 4.420 0.000 0.000 -2.210 3.828" Properties=species:S:1:pos:R:3 pbc="T T T"
V 1.753 2.210 1.276
Mo 0.437 0.000 2.552
Rh 0.440 0.000 0.000
```

VASP energy ... -9.0494 eV per atom
Distance to the lowest polymorph of the same formula ... 277 meV/atom
Crystal system ... hexagonal
Density of states at the Fermi level ... 4.2 states/eV/cell


[7]
Entry from the Alexandria database: a geometry-optimized V3MoRh structure (PBE).

Structure (extended XYZ):
```
5
Lattice="-0.373 -4.165 1.726 4.329 -0.815 -1.030 1.259 1.566 4.052" Properties=species:S:1:pos:R:3 pbc="T T T"
Mo 2.607 -1.707 2.374
V -0.186 -2.082 0.863
V 0.630 0.783 2.026
V 2.164 -0.407 -0.515
Rh 0.000 0.000 0.000
```

VASP energy ... -7.8512 eV per atom
Distance to the lowest polymorph of the same formula ... 1255 meV/atom
Crystal system ... cubic
Density of states at the Fermi level ... 5.4 states/eV/cell


[8]
Entry from the Alexandria database: a geometry-optimized VMoRh6 structure (PBE).

Structure (extended XYZ):
```
8
Lattice="3.844 0.000 0.000 0.000 5.424 -0.034 0.000 0.035 5.424" Properties=species:S:1:pos:R:3 pbc="T T T"
Rh 1.922 0.017 2.712
Rh 0.000 4.101 4.050
Rh 0.000 4.085 1.322
Rh 0.000 1.357 1.340
Rh 0.000 1.374 4.068
Rh 1.922 2.712 -0.017
Mo 1.922 2.729 2.695
V 1.922 0.000 0.000
```

VASP energy ... -8.3033 eV per atom
Crystal system ... tetragonal
Density of states at the Fermi level ... 4.1 states/eV/cell


[9]
Entry from the Alexandria database: a geometry-optimized V2MoRh3 structure (PBE).

Structure (extended XYZ):
```
6
Lattice="2.742 0.000 0.000 0.000 2.742 0.000 0.000 0.000 11.262" Properties=species:S:1:pos:R:3 pbc="T T T"
Mo 1.371 1.371 5.631
Rh 0.000 0.000 0.000
Rh 0.000 0.000 7.611
Rh 0.000 0.000 3.651
V 1.371 1.371 1.828
V 1.371 1.371 9.434
```

VASP energy ... -8.8195 eV per atom
Distance to the lowest polymorph of the same formula ... 0 meV/atom
Crystal system ... tetragonal
Density of states at the Fermi level ... 9.0 states/eV/cell


[10]
Entry from the Alexandria database: a geometry-optimized VMoRh5 structure (PBE).

Structure (extended XYZ):
```
7
Lattice="3.953 0.000 0.000 0.000 3.953 0.000 0.000 0.000 6.736" Properties=species:S:1:pos:R:3 pbc="T T T"
Rh 1.977 1.977 3.368
Rh 0.000 1.977 1.483
Rh 0.000 1.977 5.253
Rh 1.977 0.000 5.253
Rh 1.977 0.000 1.483
Mo 0.000 0.000 3.368
V 1.977 1.977 0.000
```

VASP energy ... -8.2001 eV per atom
Distance to the lowest polymorph of the same formula ... 0 meV/atom
Crystal system ... tetragonal
Density of states at the Fermi level ... 7.9 states/eV/cell


[11]
Entry from the Alexandria database: a geometry-optimized VMoRh structure (PBE).

Structure (extended XYZ):
```
3
Lattice="3.083 0.000 0.000 0.000 3.083 0.000 -1.541 -1.541 4.620" Properties=species:S:1:pos:R:3 pbc="T T T"
Rh 1.541 1.541 4.233
V 1.541 1.541 1.108
Mo 0.000 0.000 2.514
```

VASP energy ... -9.1397 eV per atom
Distance to the lowest polymorph of the same formula ... 187 meV/atom
Crystal system ... tetragonal
Density of states at the Fermi level ... 3.9 states/eV/cell


[12]
Entry from the Alexandria database: a geometry-optimized VMoRh5 structure (PBE).

Structure (extended XYZ):
```
14
Lattice="-4.517 2.390 1.497 -2.962 -2.470 3.671 -1.221 4.084 10.004" Properties=species:S:1:pos:R:3 pbc="T T T"
Mo -4.461 2.414 10.359
Mo -4.240 1.589 4.813
Rh -5.569 0.168 6.864
Rh -4.069 4.444 11.610
Rh -5.513 2.450 8.183
Rh -3.131 3.835 8.308
Rh -3.187 1.553 6.988
Rh -6.730 3.931 11.096
Rh -3.388 -1.072 6.003
Rh -1.970 0.072 4.076
Rh -5.312 5.075 9.169
Rh -4.631 -0.441 3.562
V -0.610 2.042 5.002
V 0.000 0.000 0.000
```

VASP energy ... -8.0601 eV per atom
Distance to the lowest polymorph of the same formula ... 140 meV/atom
Crystal system ... monoclinic
Density of states at the Fermi level ... 15.3 states/eV/cell